This record from OQMD via LeMat-Bulk describes a geometry-optimized PrNiGePb2 structure. The functional is PBE-GGA.

Results
Density (g cm⁻³): 9.4
DFT total energy (eV/atom): -4.8184
Space group: No. 65

Cell lengths 12.095, 12.095, 4.521 Å; angles 90.00, 90.00, 158.45 degrees
Sites, in units of the cell vectors:
1 Pr 0.180 0.820 0.000
2 Pr 0.820 0.180 0.000
3 Ni 0.375 0.625 0.500
4 Ni 0.625 0.375 0.500
5 Ge 0.279 0.721 0.500
6 Ge 0.721 0.279 0.500
7 Pb 0.065 0.935 0.500
8 Pb 0.435 0.565 0.000
9 Pb 0.565 0.435 0.000
10 Pb 0.935 0.065 0.500

=====

This record from OQMD via LeMat-Bulk describes a geometry-optimized TbTlAsO structure. The functional is PBE-GGA.

Results
Density (g cm⁻³): 7.4
DFT total energy (eV/atom): -5.4644
Excess energy over the best structure of this formula in the dataset (eV per atom): 0.096
Space group: No. 26

Cell lengths 3.486, 9.923, 5.865 Å; angles 90.00, 90.00, 90.00 degrees
Sites, in units of the cell vectors:
1 Tb 0.000 0.172 0.000
2 Tb 0.000 0.828 0.500
3 Tl 0.500 0.387 0.549
4 Tl 0.500 0.613 0.049
5 As 0.000 0.127 0.498
6 As 0.000 0.873 0.998
7 O 0.500 0.289 0.978
8 O 0.500 0.711 0.478

=====

This record from OQMD via LeMat-Bulk describes a geometry-optimized NaNiMo structure. The functional is PBE-GGA.

Results
Density (g cm⁻³): 5.8
DFT total energy (eV/atom): -4.7499
Excess energy over the best structure of this formula in the dataset (eV per atom): 0.315
Space group: No. 216

Cell lengths 5.885, 5.885, 5.885 Å; angles 90.00, 90.00, 90.00 degrees
Sites, in units of the cell vectors:
1 Na 0.000 0.000 0.000
2 Na 0.000 0.500 0.500
3 Na 0.500 0.000 0.500
4 Na 0.500 0.500 0.000
5 Ni 0.250 0.250 0.750
6 Ni 0.250 0.750 0.250
7 Ni 0.750 0.250 0.250
8 Ni 0.750 0.750 0.750
9 Mo 0.000 0.000 0.500
10 Mo 0.000 0.500 0.000
11 Mo 0.500 0.000 0.000
12 Mo 0.500 0.500 0.500

=====

This record from OQMD via LeMat-Bulk describes a geometry-optimized HoSi2AgIr structure. The functional is PBE-GGA.

Results
Density (g cm⁻³): 10.0
DFT total energy (eV/atom): -6.0219
Space group: No. 119

Cell lengths 4.145, 4.145, 10.098 Å; angles 90.00, 90.00, 90.00 degrees
Sites, in units of the cell vectors:
1 Ho 0.000 0.000 0.000
2 Ho 0.500 0.500 0.500
3 Si 0.000 0.000 0.385
4 Si 0.000 0.000 0.615
5 Si 0.500 0.500 0.115
6 Si 0.500 0.500 0.885
7 Ag 0.000 0.500 0.250
8 Ag 0.500 0.000 0.750
9 Ir 0.000 0.500 0.750
10 Ir 0.500 0.000 0.250

=====

This record from OQMD via LeMat-Bulk describes a geometry-optimized RbTe2WAuSe structure. The functional is PBE-GGA.

Results
Density (g cm⁻³): 7.5
DFT total energy (eV/atom): -4.5722
Space group: No. 63

Cell lengths 8.454, 8.454, 10.478 Å; angles 90.00, 90.00, 151.75 degrees
Sites, in units of the cell vectors:
1 Rb 0.241 0.759 0.750
2 Rb 0.759 0.241 0.250
3 Te 0.383 0.617 0.019
4 Te 0.383 0.617 0.481
5 Te 0.617 0.383 0.519
6 Te 0.617 0.383 0.981
7 W 0.000 0.000 0.000
8 W 0.000 0.000 0.500
9 Au 0.452 0.548 0.250
10 Au 0.548 0.452 0.750
11 Se 0.056 0.944 0.250
12 Se 0.944 0.056 0.750

=====

This record from OQMD via LeMat-Bulk describes a geometry-optimized TePd14 structure. The functional is PBE-GGA.

Results
Density (g cm⁻³): 6.5
DFT total energy (eV/atom): -5.0337
Excess energy over the best structure of this formula in the dataset (eV per atom): 0.065
Space group: No. 12

Cell lengths 7.304, 7.304, 29.992 Å; angles 90.26, 90.26, 31.06 degrees
Sites, in units of the cell vectors:
1 Te 0.210 0.210 0.262
2 Te 0.790 0.790 0.738
3 Pd 0.018 0.018 0.804
4 Pd 0.056 0.056 0.898
5 Pd 0.096 0.096 0.990
6 Pd 0.135 0.135 0.082
7 Pd 0.172 0.172 0.174
8 Pd 0.210 0.210 0.787
9 Pd 0.250 0.250 0.881
10 Pd 0.288 0.288 0.973
11 Pd 0.328 0.328 0.065
12 Pd 0.366 0.366 0.157
13 Pd 0.402 0.402 0.249
14 Pd 0.406 0.406 0.766
15 Pd 0.443 0.443 0.861
16 Pd 0.479 0.479 0.954
17 Pd 0.521 0.521 0.046
18 Pd 0.557 0.557 0.139
19 Pd 0.594 0.594 0.234
20 Pd 0.598 0.598 0.751
21 Pd 0.634 0.634 0.843
22 Pd 0.672 0.672 0.935
23 Pd 0.712 0.712 0.027
24 Pd 0.750 0.750 0.119
25 Pd 0.790 0.790 0.213
26 Pd 0.828 0.828 0.826
27 Pd 0.865 0.865 0.918
28 Pd 0.904 0.904 0.010
29 Pd 0.944 0.944 0.102
30 Pd 0.982 0.982 0.196

=====

This record from OQMD via LeMat-Bulk describes a geometry-optimized Al2In3Cu structure. The functional is PBE-GGA.

Results
Density (g cm⁻³): 5.2
DFT total energy (eV/atom): -2.6826
Space group: No. 191

Cell lengths 5.887, 5.887, 4.936 Å; angles 90.00, 90.00, 120.00 degrees
Sites, in units of the cell vectors:
1 Al 0.333 0.667 0.000
2 Al 0.667 0.333 0.000
3 In 0.000 0.500 0.500
4 In 0.500 0.000 0.500
5 In 0.500 0.500 0.500
6 Cu 0.000 0.000 0.000

=====

This record from OQMD via LeMat-Bulk describes a geometry-optimized HgB structure. The functional is PBE-GGA.

Results
Density (g cm⁻³): 10.6
DFT total energy (eV/atom): -1.8262
Excess energy over the best structure of this formula in the dataset (eV per atom): 0.193
Space group: No. 187

Cell lengths 3.274, 3.274, 3.554 Å; angles 90.00, 90.00, 120.00 degrees
Sites, in units of the cell vectors:
1 Hg 0.000 0.000 0.000
2 B 0.333 0.667 0.500

=====

Which of these has the highest DFT total energy?
HgB

=====

Which formula does entry 6 have?
TePd14

=====

Which value of DFT total energy does entry 3 give?
-4.7499 eV/atom

=====

Which of these has the lowest density?
Al2In3Cu